[1]
11
Lattice="2.963 -5.050 0.000 2.963 5.050 0.000 -1.906 0.000 6.540" Properties=species:S:1:pos:R:3 comment="PBE with a Hubbard U Y2Tl2MoO6, optimized geometry" final_energy_ev_per_atom=-7.11 crystal_system=monoclinic density_g_cm3=6.61 vol_a3_per_atom=17.8 pbc="T T T"
Y 2.963 3.387 0.000
Y 2.963 -3.387 0.000
Tl 2.009 1.652 3.270
Tl 2.009 -1.652 3.270
Mo 2.963 0.000 0.000
O 0.148 1.556 5.491
O 1.097 0.000 1.130
O 0.148 -1.556 5.491
O 3.871 1.556 1.049
O 2.922 0.000 5.409
O 3.871 -1.556 1.049

***

[2]
15
Lattice="5.975 -3.413 0.000 5.975 3.413 0.000 -3.923 0.000 6.549" Properties=species:S:1:pos:R:3 comment="PBE with a Hubbard U Y3Tl3MoO8, optimized geometry" final_energy_ev_per_atom=-7.10 crystal_system=monoclinic density_g_cm3=6.86 vol_a3_per_atom=17.8 pbc="T T T"
Y 0.000 0.000 0.000
Y 2.987 1.706 0.000
Y 2.987 -1.706 0.000
Tl 1.026 1.706 3.275
Tl 1.026 -1.706 3.275
Tl 4.013 0.000 3.275
Mo 5.975 0.000 0.000
O 1.979 0.000 1.104
O 5.061 1.560 1.067
O 0.155 0.000 5.461
O 2.965 1.560 5.483
O 5.061 -1.560 1.067
O 7.871 0.000 1.089
O 2.965 -1.560 5.483
O 6.047 0.000 5.445

***

[3]
9
Lattice="5.457 0.000 0.000 -2.728 4.726 0.000 0.000 0.000 5.103" Properties=species:S:1:pos:R:3 comment="PBE with a Hubbard U ZrTlMoO6, optimized geometry" final_energy_ev_per_atom=-7.17 crystal_system=trigonal density_g_cm3=6.15 vol_a3_per_atom=14.6 pbc="T T T"
Zr 0.000 0.000 0.000
Tl 2.728 1.575 2.551
Mo 0.000 3.150 0.000
O -0.670 1.676 1.099
O -1.612 3.307 4.003
O 0.670 1.676 4.003
O -0.942 4.468 1.099
O 1.612 3.307 1.099
O 0.942 4.468 4.003

***

[4]
10
Lattice="0.000 4.131 4.131 4.131 0.000 4.131 4.131 4.131 0.000" Properties=species:S:1:pos:R:3 comment="PBE with a Hubbard U ZrTl2MoO6, optimized geometry" final_energy_ev_per_atom=-6.81 crystal_system=cubic density_g_cm3=8.15 vol_a3_per_atom=14.1 pbc="T T T"
Zr 0.000 0.000 0.000
Tl 2.065 2.065 2.065
Tl 6.196 6.196 6.196
Mo 4.131 4.131 4.131
O 4.131 4.131 2.160
O 4.131 2.160 4.131
O 6.101 4.131 4.131
O 2.160 4.131 4.131
O 4.131 6.101 4.131
O 4.131 4.131 6.101